Entry 1:
VASP calculation (PBE-GGA) on a relaxed structure of Al3CrNi.

Lattice parameters (Å, degrees): 4.3696 4.3696 4.3696 90.00 90.00 90.00
Each line ends with the local moment (μB).
Positions (direct):
Cr 0.5000 0.5000 0.5000  -0.38
Al 0.5000 0.0000 0.0000  0.01
Al 0.0000 0.5000 0.0000  0.01
Ni 0.0000 0.0000 0.0000  -0.03
Al 0.0000 0.0000 0.5000  0.01

Summary:
SG: Pm-3m
Distance to the lowest polymorph of the same formula: 0.0 meV per atom
Magnetization: 0.0780 μB per atom
DFT total energy: -0.1762 Ha/atom

Entry 2:
VASP calculation (PBE-GGA) on a relaxed structure of Tm12ZnIn6.

Lattice parameters (Å, degrees): 8.6760 8.6760 8.6760 99.94 99.94 99.94
Positions (direct):
Tm 0.9412 0.0448 0.6844
Tm 0.0588 0.9552 0.3156
In 0.3014 0.1347 0.6191
Tm 0.8192 0.5684 0.4305
Tm 0.5695 0.1808 0.4316
In 0.6191 0.3014 0.1347
Tm 0.4305 0.8192 0.5684
Tm 0.0448 0.6844 0.9412
Tm 0.4316 0.5695 0.1808
Tm 0.5684 0.4305 0.8192
Tm 0.3156 0.0588 0.9552
In 0.1347 0.6191 0.3014
Tm 0.6844 0.9412 0.0448
In 0.8653 0.3809 0.6986
In 0.6986 0.8653 0.3809
Tm 0.9552 0.3156 0.0588
In 0.3809 0.6986 0.8653
Zn 0.0000 0.0000 0.0000
Tm 0.1808 0.4316 0.5695

Summary:
SG: R-3
Magnetization: 0.0000 μB per atom
DFT total energy: -0.1375 Ha/atom

Entry 3:
VASP calculation (PBE-GGA) on a relaxed structure of Rb2AsPbO4.

Lattice parameters (Å, degrees): 6.0955 6.0955 6.0955 104.73 111.89 111.89
Each line ends with the local moment (μB).
Positions (direct):
Rb 0.0000 0.0000 0.0000  0.01
Rb 0.5000 0.7500 0.2500  0.03
As 0.0000 0.5000 0.5000  0.00
O 0.7124 0.4803 0.5112  0.02
O 0.0308 0.2321 0.5197  0.02
O 0.9692 0.4888 0.2013  0.02
Pb 0.5000 0.2500 0.7500  0.28
O 0.2876 0.7987 0.7679  0.02

Summary:
SG: I-4
Uncorrected formation energy: -1.301 eV/atom
Magnetization: 0.1233 μB per atom
DFT total energy: -0.1862 Ha/atom

Entry 4:
VASP calculation (PBE-GGA) on a relaxed structure of AgSb2TeI.

Lattice parameters (Å, degrees): 5.8466 5.8466 5.8204 90.00 90.00 90.00
Each line ends with the local moment (μB).
Positions (direct):
Sb 0.0000 0.5000 0.0000  0.14
I 0.0000 0.0000 0.0000  0.01
Sb 0.5000 0.0000 0.0000  0.14
Te 0.0000 0.0000 0.5000  0.08
Ag 0.5000 0.5000 0.5000  0.00

Summary:
SG: P4/mmm
Uncorrected formation energy: 1.140 eV/atom
Distance to the lowest polymorph of the same formula: 573.4 meV per atom
Magnetization: 0.1671 μB per atom
DFT total energy: -0.0741 Ha/atom

Entry 5:
VASP calculation (PBE-GGA) on a relaxed structure of TiAgClF6.

Lattice parameters (Å, degrees): 5.8079 6.5611 5.1788 116.76 106.87 62.30
Each line ends with the local moment (μB).
Positions (direct):
F 0.6077 0.0476 0.3121  0.00
F 0.3148 0.1433 0.6769  0.00
F 0.0560 0.2594 0.2103  0.00
F 0.3357 0.5201 0.3435  0.01
Cl 0.0577 0.9498 0.9817  0.00
Ti 0.3702 0.3291 0.5415  0.00
F 0.5887 0.4444 0.8378  0.00
Ag 0.6256 0.6883 0.3689  0.07
F 0.0435 0.6179 0.7271  0.00

Summary:
SG: P1
Uncorrected formation energy: -2.157 eV/atom
Magnetization: 0.0092 μB per atom
DFT total energy: -0.1765 Ha/atom

Entry 6:
VASP calculation (PBE-GGA) on a relaxed structure of KPtW2.

Lattice parameters (Å, degrees): 2.7292 2.7292 10.6124 90.00 90.00 103.00
Positions (direct):
K 0.5000 0.5000 0.2500
W 0.0000 0.0000 0.5461
Pt 0.5000 0.5000 0.7500
W 0.0000 0.0000 0.9539

Summary:
SG: Cmmm
Distance to the lowest polymorph of the same formula: 325.8 meV per atom
Magnetization: 0.0000 μB per atom
DFT total energy: -0.2728 Ha/atom

Entry 7:
VASP calculation (PBE-GGA) on a relaxed structure of Tb2PrHo.

Lattice parameters (Å, degrees): 5.0828 5.0720 5.0720 90.00 90.00 90.00
Positions (direct):
Tb 0.0000 0.5000 0.0000
Tb 0.0000 0.0000 0.5000
Ho 0.5000 0.5000 0.5000
Pr 0.5000 0.0000 0.0000

Summary:
SG: P4/mmm
Distance to the lowest polymorph of the same formula: 1.7 meV per atom
Magnetization: 0.0000 μB per atom
DFT total energy: -0.1703 Ha/atom

Entry 8:
VASP calculation (PBE-GGA) on a relaxed structure of YPuCo.

Lattice parameters (Å, degrees): 4.5541 4.1914 4.1914 120.00 90.00 90.00
Each line ends with the local moment (μB).
Positions (direct):
Y 0.6667 0.6667 0.3333  0.28
Co 0.1667 0.0000 0.0000  -0.52
Pu 0.1666 0.3333 0.6667  5.27

Summary:
SG: P-6m2
Distance to the lowest polymorph of the same formula: 165.7 meV per atom
Magnetization: 1.8394 μB per atom
DFT total energy: -0.3347 Ha/atom

> Number 6 is which compound?

KPtW2

> Which value of magnetization does entry 7 give?

0.0000 μB per atom

> DFT total energy of number 8 (YPuCo)?

-0.3347 Ha/atom